# PBE Th5PaS6, optimized geometry
# ΔE_f (raw) ... -21.56 eV per formula unit
data_Th5PaS6
_chemical_formula_sum 'Th10 Pa2 S12'
_space_group_name_H-M_alt 'C 1 2/m 1'
_space_group_IT_number 12
_cell_length_a 6.9530
_cell_length_b 12.1154
_cell_length_c 6.9498
_cell_angle_alpha 90.00
_cell_angle_beta 109.70
_cell_angle_gamma 90.00
loop_
_space_group_symop_operation_xyz
'x,y,z'
'-x,-y,-z'
'-x,y,-z'
'x,-y,z'
'x+1/2,y+1/2,z'
'-x+1/2,-y+1/2,-z'
'-x+1/2,y+1/2,-z'
'x+1/2,-y+1/2,z'
loop_
_atom_site_label
_atom_site_type_symbol
_atom_site_fract_x
_atom_site_fract_y
_atom_site_fract_z
Th1 Th 0.0000 0.0000 0.0000
Th2 Th 0.0000 0.1660 0.5000
Th3 Th 0.0000 0.3305 0.0000
Pa1 Pa 0.0000 0.5000 0.5000
S1 S 0.2436 0.5000 0.2510
S2 S 0.2451 0.3362 0.7452